Record 1
This record from Alexandria via LeMat-Bulk describes crystalline ThTiB at its relaxed geometry. The functional is GGA-PBE.

Lattice parameters (Å, degrees): 7.046 7.985 7.985 56.65 63.82 63.82
Positions (direct):
Ti  0.257  0.889  0.889
Ti  0.478  0.500  0.500
Ti  0.478  0.000  0.000
Ti  0.034  0.611  0.611
Ti  0.257  0.389  0.389
Ti  0.034  0.111  0.111
B  0.590  0.167  0.167
B  0.924  0.833  0.833
B  0.924  0.333  0.333
B  0.256  0.250  0.750
B  0.256  0.750  0.250
B  0.590  0.667  0.667
Th  0.258  0.956  0.456
Th  0.845  0.750  0.250
Th  0.258  0.456  0.956
Th  0.669  0.544  0.044
Th  0.669  0.044  0.544
Th  0.845  0.250  0.750

Values from the calculation:
space group = Amm2 (38)
ΔE_f = -51 meV per atom
calculated density = 8.9 g cm⁻³
M_tot = 0.000 μB/atom
volume = 18.0 A^3/atom
DOS at the Fermi energy = 20.57 states/eV/cell

Record 2
This record from Alexandria via LeMat-Bulk describes crystalline NaBeZn2 at its relaxed geometry. The functional is GGA-PBE.

Lattice parameters (Å, degrees): 4.806 4.806 8.479 73.54 73.54 90.00
Positions (direct):
Zn  0.375  0.625  0.250
Zn  0.875  0.625  0.750
Zn  0.375  0.125  0.250
Zn  0.375  0.625  0.750
Be  0.500  0.500  0.000
Be  0.250  0.750  0.500
Na  0.000  0.000  0.000
Na  0.750  0.250  0.500

Values from the calculation:
space group = I4_1/amd (141)
ΔE_f = 374 meV per atom
calculated density = 3.0 g cm⁻³
M_tot = 0.000 μB/atom
volume = 22.4 A^3/atom
DOS at the Fermi energy = 4.32 states/eV/cell

Record 3
This record from Alexandria via LeMat-Bulk describes crystalline TbYCd at its relaxed geometry. The functional is GGA-PBE.

Lattice parameters (Å, degrees): 5.146 7.345 10.281 90.00 90.00 90.00
Positions (direct):
Y  0.750  0.999  0.626
Y  0.250  0.001  0.374
Y  0.750  0.501  0.126
Y  0.250  0.499  0.874
Cd  0.250  0.248  0.625
Cd  0.750  0.752  0.375
Cd  0.250  0.252  0.125
Cd  0.750  0.748  0.875
Tb  0.250  0.999  0.876
Tb  0.750  0.001  0.124
Tb  0.250  0.501  0.376
Tb  0.750  0.499  0.624

Values from the calculation:
space group = Pnma (62)
energy above the most stable polymorph in this dataset = 0.283 eV per atom
ΔE_f = 79 meV per atom
calculated density = 6.2 g cm⁻³
M_tot = 0.000 μB/atom
volume = 32.4 A^3/atom
DOS at the Fermi energy = 17.35 states/eV/cell

Record 4
This record from Alexandria via LeMat-Bulk describes crystalline K5Tl12In2 at its relaxed geometry. The functional is GGA-PBE.

Lattice parameters (Å, degrees): 8.673 9.124 9.610 61.66 90.86 90.00
Positions (direct):
Tl  0.218  0.692  0.252
Tl  0.685  0.588  0.211
Tl  0.882  0.924  0.152
Tl  0.315  0.412  0.789
Tl  0.782  0.308  0.748
Tl  0.315  0.799  0.789
Tl  0.118  0.076  0.848
Tl  0.339  0.440  0.120
Tl  0.218  0.056  0.252
Tl  0.782  0.944  0.748
Tl  0.685  0.201  0.211
Tl  0.661  0.560  0.880
K  0.500  0.000  0.000
K  0.000  0.713  0.575
K  0.000  0.287  0.425
K  0.540  0.763  0.474
K  0.460  0.237  0.526
In  0.000  0.666  0.000
In  0.000  0.334  0.000

Values from the calculation:
space group = C2/m (12)
ΔE_f = -62 meV per atom
calculated density = 7.1 g cm⁻³
M_tot = 0.000 μB/atom
volume = 35.2 A^3/atom
DOS at the Fermi energy = 8.62 states/eV/cell